No. 1
Ca2AgSe | PBEsol | optimized geometry

Cell and atoms, written as POSCAR:
```
Ca2AgSe
1.0
-2.7284 1.0502 4.2212
1.6898 -1.5478 4.6003
1.7354 3.4562 3.3848
Ag Ca Se
1 2 1
direct
0.5000 0.0000 0.0000
0.2501 0.7499 0.7499
0.7499 0.2501 0.2501
0.0000 0.5000 0.5000
```

Results
For the theoretical density, the calculation gives 4.62 g/cm3. As for the density of states at the Fermi level: 0.583 states/eV per atom. The value obtained for the calculated volume is 96 Å³/cell. As for the crystal system: orthorhombic. For the energy, the calculation gives -3.674 eV/atom. For the formation energy from raw total energies, the calculation gives -817 meV/atom.

***

No. 2
BaTc3Hg | PBEsol | optimized geometry

Cell and atoms, written as POSCAR:
```
BaTc3Hg
1.0
-1.7456 4.5981 1.3401
-1.8618 0.6627 -4.6990
-4.4127 -2.0986 1.4524
Tc Ba Hg
3 1 1
direct
0.5000 0.0000 0.0000
0.0000 0.0000 0.5000
0.0000 0.5000 0.0000
0.5000 0.5000 0.5000
0.0000 0.0000 0.0000
```

Results
For the theoretical density, the calculation gives 7.92 g/cm3. As for the density of states at the Fermi level: 1.307 states/eV per atom. The energy of formation is 2.128 eV per atom. The value obtained for the calculated volume is 132 Å³/cell. As for the crystal system: cubic. For the energy, the calculation gives -5.175 eV/atom.

***

No. 3
Tc3Ru | PBEsol | optimized geometry

Cell and atoms, written as POSCAR:
```
Tc3Ru
1.0
-0.5690 -2.4628 -0.9918
0.9002 0.2626 2.5483
-8.1194 0.7521 2.7908
Tc Ru
3 1
direct
0.6667 0.3333 0.7522
0.0000 0.0000 0.5000
0.6667 0.3333 0.2478
0.0000 0.0000 0.0000
```

Results
For the theoretical density, the calculation gives 11.92 g/cm3. As for the density of states at the Fermi level: 0.945 states/eV per atom. The energy of formation is -0.031 eV per atom. The value obtained for the calculated volume is 55 Å³/cell. As for the crystal system: hexagonal. For the energy, the calculation gives -11.024 eV/atom.

***

Copy entry 2 word for word.
BaTc3Hg | PBEsol | optimized geometry

Cell and atoms, written as POSCAR:
```
BaTc3Hg
1.0
-1.7456 4.5981 1.3401
-1.8618 0.6627 -4.6990
-4.4127 -2.0986 1.4524
Tc Ba Hg
3 1 1
direct
0.5000 0.0000 0.0000
0.0000 0.0000 0.5000
0.0000 0.5000 0.0000
0.5000 0.5000 0.5000
0.0000 0.0000 0.0000
```

Results
For the theoretical density, the calculation gives 7.92 g/cm3. As for the density of states at the Fermi level: 1.307 states/eV per atom. The energy of formation is 2.128 eV per atom. The value obtained for the calculated volume is 132 Å³/cell. As for the crystal system: cubic. For the energy, the calculation gives -5.175 eV/atom.